1.
A relaxed TlCu2Ni2 crystal, computed with PBE-GGA.

abc: 3.5485 3.5485 6.3125
angles: 73.68 73.68 90.00
Fractional coordinates of all 5 atoms:
Ni 0.3961 0.3961 0.2079
Ni 0.6039 0.6039 0.7921
Tl 0.0000 0.0000 0.0000
Cu 0.2500 0.7500 0.5000
Cu 0.7500 0.2500 0.5000

Properties
The total DFT energy (no corrections) is -4.129 eV per atom. The value obtained for the magnetic moment is 0.000 μB/cell.


2.
A relaxed ScAs2Ir crystal, computed with PBE-GGA.

abc: 4.5299 2.9970 5.5443
angles: 74.21 90.00 90.00
Fractional coordinates of all 4 atoms:
Sc 0.5000 0.6734 0.7775
Ir 0.0000 0.3256 0.4759
As 0.0000 0.0936 0.9350
As 0.5000 0.4073 0.3116

Properties
The total DFT energy (no corrections) is -6.589 eV per atom. The value obtained for the magnetic moment is 0.000 μB/cell.


3.
A relaxed Zn3CrC crystal, computed with PBE-GGA.

abc: 4.6568 4.6568 4.6568
angles: 90.00 90.00 90.00
Fractional coordinates of all 5 atoms:
Cr 0.0000 0.0000 0.0000
Zn 0.0000 0.0000 0.5000
Zn 0.0000 0.5000 0.0000
Zn 0.5000 0.0000 0.0000
C 0.5000 0.5000 0.5000

Properties
The total DFT energy (no corrections) is -2.298 eV per atom. The value obtained for the magnetic moment is 0.000 μB/cell.


4.
A relaxed Rb2Ga2Bi crystal, computed with PBE-GGA.

abc: 4.8967 4.8967 8.1501
angles: 72.52 72.52 90.00
Each line ends with the local moment (μB).
Fractional coordinates of all 5 atoms:
Ga 0.4169 0.4169 0.1661  0.09
Ga 0.5831 0.5831 0.8339  0.09
Rb 0.7500 0.2500 0.5000  0.01
Rb 0.2500 0.7500 0.5000  0.01
Bi 0.0000 0.0000 0.0000  -0.02

Properties
The total DFT energy (no corrections) is -2.178 eV per atom. The value obtained for the magnetic moment is 0.442 μB/cell.